Record 1
Pu2VCo | PBE | optimized geometry

It has space group R-3m (No. 166, hexagonal axes), with a = 2.7516 Å, b = 2.7516 Å, c = 29.5677 Å, α = 90.00°, β = 90.00° and γ = 120.00°. The asymmetric unit holds Pu at (0.0000, 0.0000, 0.0875), V at (0.0000, 0.0000, 0.0000) and Co at (0.0000, 0.0000, 0.5000).

As for the formation enthalpy at 0 K: 0.578 eV/atom. The mass density comes out at 15.36 Mg/m³. The energy above the most stable polymorph in this dataset is 0.150 eV per atom.

=====

Record 2
PuVCo4 | PBE | optimized geometry

It has space group F-43m (No. 216), with a = 6.8535 Å, b = 6.8535 Å, c = 6.8535 Å, α = 90.00°, β = 90.00° and γ = 90.00°. The asymmetric unit holds Pu at (0.0000, 0.0000, 0.0000), V at (0.2500, 0.2500, 0.7500) and Co at (0.1243, 0.1243, 0.3757).

As for the formation enthalpy at 0 K: -0.018 eV/atom. The mass density comes out at 10.95 Mg/m³.

=====

Record 3
PuVCo | PBE | optimized geometry

It has space group Fmmm (No. 69), with a = 4.7979 Å, b = 6.6898 Å, c = 11.3433 Å, α = 90.00°, β = 90.00° and γ = 90.00°. The asymmetric unit holds Pu at (0.0000, 0.1760, 0.0000), V at (0.2500, 0.2500, 0.2500) and Co at (0.0000, 0.0000, 0.3802).

As for the formation enthalpy at 0 K: 0.338 eV/atom. The mass density comes out at 12.91 Mg/m³. The energy above the most stable polymorph in this dataset is 0.090 eV per atom.

=====

Record 4
PuV2Co | PBE | optimized geometry

It has space group Fm-3m (No. 225), with a = 6.1298 Å, b = 6.1298 Å, c = 6.1298 Å, α = 90.00°, β = 90.00° and γ = 90.00°. The asymmetric unit holds Pu at (0.0000, 0.0000, 0.0000), V at (0.2500, 0.2500, 0.2500) and Co at (0.0000, 0.0000, 0.5000).

As for the formation enthalpy at 0 K: 0.245 eV/atom. The mass density comes out at 11.67 Mg/m³.

=====

Record 5
Pu2VCo | PBE | optimized geometry

It has space group P4/mmm (No. 123), with a = 3.4872 Å, b = 3.4872 Å, c = 4.9107 Å, α = 90.00°, β = 90.00° and γ = 90.00°. The asymmetric unit holds Pu at (0.0000, 0.5000, 0.0000), V at (0.0000, 0.0000, 0.5000) and Co at (0.5000, 0.5000, 0.5000).

As for the formation enthalpy at 0 K: 0.428 eV/atom. The mass density comes out at 16.62 Mg/m³. The energy above the most stable polymorph in this dataset is 0.000 eV per atom.

=====

Record 6
PuVCo | PBE | optimized geometry

It has space group P3m1 (No. 156), with a = 4.3232 Å, b = 4.3232 Å, c = 2.7371 Å, α = 90.00°, β = 90.00° and γ = 120.00°. The asymmetric unit holds Pu at (0.0000, 0.0000, 0.0000), V at (0.3333, 0.6667, 0.2072) and Co at (0.6667, 0.3333, 0.6706).

As for the formation enthalpy at 0 K: 0.248 eV/atom. The mass density comes out at 13.26 Mg/m³. The energy above the most stable polymorph in this dataset is 0.000 eV per atom.

=====

Record 7
Pu2CoW | PBE | optimized geometry

It has space group R-3m (No. 166, hexagonal axes), with a = 2.8232 Å, b = 2.8232 Å, c = 31.2588 Å, α = 90.00°, β = 90.00° and γ = 120.00°. The asymmetric unit holds Pu at (0.0000, 0.0000, 0.0924), Co at (0.0000, 0.0000, 0.5000) and W at (0.0000, 0.0000, 0.0000).

As for the formation enthalpy at 0 K: 0.693 eV/atom. The mass density comes out at 16.87 Mg/m³.

=====

Record 8
Y2PuCo | PBE | optimized geometry

It has space group P4/mmm (No. 123), with a = 3.3760 Å, b = 3.3760 Å, c = 8.7268 Å, α = 90.00°, β = 90.00° and γ = 90.00°. The asymmetric unit holds Y at (0.0000, 0.0000, 0.1885), Pu at (0.5000, 0.5000, 0.5000) and Co at (0.5000, 0.5000, 0.0000).

As for the formation enthalpy at 0 K: 0.024 eV/atom. The mass density comes out at 8.03 Mg/m³. The energy above the most stable polymorph in this dataset is 0.000 eV per atom.

=====

Record 9
Y3PuCo8 | PBE | optimized geometry

It has space group R3m (No. 160, hexagonal axes), with a = 4.9947 Å, b = 4.9947 Å, c = 25.2716 Å, α = 90.00°, β = 90.00° and γ = 120.00°. The asymmetric unit holds Y at (0.0000, 0.0000, 0.0000), Y at (0.0000, 0.0000, 0.1241), Y at (0.0000, 0.0000, 0.6242), Pu at (0.0000, 0.0000, 0.5019), Co at (0.0000, 0.0000, 0.3132), Co at (0.0000, 0.0000, 0.8142), Co at (0.0013, 0.5007, 0.0623) and Co at (0.1682, 0.3364, 0.8948).

As for the formation enthalpy at 0 K: -0.142 eV/atom. The mass density comes out at 8.96 Mg/m³.

=====

Record 10
Y3PuCo3 | PBE | optimized geometry

It has space group C2/m (No. 12), with a = 11.9118 Å, b = 3.8622 Å, c = 14.1279 Å, α = 90.00°, β = 114.07° and γ = 90.00°. The asymmetric unit holds Y at (0.0027, 0.0000, 0.1386), Y at (0.0967, 0.0000, 0.4231), Y at (0.2337, 0.0000, 0.7065), Pu at (0.2343, 0.5000, 0.9028), Co at (0.0643, 0.5000, 0.7296), Co at (0.0877, 0.5000, 0.5721) and Co at (0.1089, 0.5000, 0.0434).

As for the formation enthalpy at 0 K: -0.125 eV/atom. The mass density comes out at 7.69 Mg/m³.

=====

Record 11
Y2PuCo2 | PBE | optimized geometry

It has space group C2/c (No. 15), with a = 10.0776 Å, b = 5.8769 Å, c = 7.2504 Å, α = 90.00°, β = 100.69° and γ = 90.00°. The asymmetric unit holds Y at (0.1511, 0.1176, 0.1483), Pu at (0.0000, 0.4046, 0.7500) and Co at (0.1493, 0.3534, 0.5094).

As for the formation enthalpy at 0 K: -0.175 eV/atom. The mass density comes out at 8.50 Mg/m³.

=====

Record 12
YPu2Co | PBE | optimized geometry

It has space group P4/mmm (No. 123), with a = 3.3768 Å, b = 3.3768 Å, c = 8.3745 Å, α = 90.00°, β = 90.00° and γ = 90.00°. The asymmetric unit holds Y at (0.0000, 0.0000, 0.0000), Pu at (0.5000, 0.5000, 0.3139) and Co at (0.0000, 0.0000, 0.5000).

As for the formation enthalpy at 0 K: 0.130 eV/atom. The mass density comes out at 11.06 Mg/m³.

=====

Number 1: DOS at the Fermi energy 30.10 states/eV/cell. Number 2: DOS at the Fermi energy 36.34 states/eV/cell. Number 3: DOS at the Fermi energy 41.90 states/eV/cell. Number 4: DOS at the Fermi energy 47.09 states/eV/cell. Number 5: DOS at the Fermi energy 10.46 states/eV/cell. Number 6: DOS at the Fermi energy 6.11 states/eV/cell. Number 7: DOS at the Fermi energy 29.11 states/eV/cell. Number 8: DOS at the Fermi energy 8.17 states/eV/cell. Number 9: DOS at the Fermi energy 52.53 states/eV/cell. Number 10: DOS at the Fermi energy 41.23 states/eV/cell. Number 11: DOS at the Fermi energy 40.41 states/eV/cell. Number 12: DOS at the Fermi energy 12.94 states/eV/cell.